Entry from the Alexandria database: Pr2YErTe6 after structural relaxation (GGA-PBE).

Cell: 7.8663 7.8663 21.1962 Å, 90.00 90.00 120.00°
Space group R3 (No. 146, hexagonal axes)
One atom of each set of equivalent atoms:
Pr: 0.0000 0.0000 0.0000 [3 per cell]
Pr: 0.0000 0.0000 0.4996 [3 per cell]
Y: 0.0000 0.0000 0.1912 [3 per cell]
Er: 0.0000 0.0000 0.6908 [3 per cell]
Te: 0.0357 0.3453 0.7671 [9 per cell]
Te: 0.0371 0.6884 0.2677 [9 per cell]

The calculation puts the energy relative to the elements, uncorrected at -1372.8 meV per atom.



Entry from the Alexandria database: CoSbP2 after structural relaxation (GGA-PBE).

Cell: 3.4498 3.4498 18.7626 Å, 90.00 90.00 120.00°
Space group R3m (No. 160, hexagonal axes)
One atom of each set of equivalent atoms:
Co: 0.0000 0.0000 0.0000 [3 per cell]
Sb: 0.0000 0.0000 0.7564 [3 per cell]
P: 0.0000 0.0000 0.2686 [3 per cell]
P: 0.0000 0.0000 0.5293 [3 per cell]

The calculation puts the energy relative to the elements, uncorrected at 140.4 meV per atom. The value obtained for the density of states at the Fermi level is 3.78 states/eV/f.u.



Entry from the Alexandria database: NaPbS after structural relaxation (GGA-PBE).

Cell: 7.922 7.922 5.398 Å, 90.00 90.00 90.00°
Space group P4_2/mmc (No. 131)
One atom of each set of equivalent atoms:
Na: 0.000 0.222 0.000 [4 per cell]
Pb: 0.273 0.500 0.500 [4 per cell]
S: 0.000 0.279 0.500 [4 per cell]

The calculation puts the energy relative to the elements, uncorrected at -563.8 meV per atom. The value obtained for the density of states at the Fermi level is 1.32 states/eV/f.u. The value obtained for the energy above the most stable polymorph in this dataset is 0.00 kJ/mol of atoms.



Entry from the Alexandria database: Cr2MoRh after structural relaxation (GGA-PBE).

Cell: 2.604 3.791 5.488 Å, 90.00 90.00 90.00°
Space group Pmmm (No. 47)
One atom of each set of equivalent atoms:
Cr: 0.000 0.000 0.237 [2 per cell]
Mo: 0.500 0.500 0.500 [1 per cell]
Rh: 0.500 0.500 0.000 [1 per cell]

The value obtained for the formation enthalpy at 0 K is 180 meV per atom. The value obtained for the density of states at the Fermi level is 4.76 states/eV/f.u.



Entry from the Alexandria database: Pm2Y6Al after structural relaxation (GGA-PBE).

Cell: 17.512 9.404 3.518 Å, 90.00 90.13 90.00°
Space group C2/m (No. 12)
One atom of each set of equivalent atoms:
Pm: 0.177 0.000 0.498 [4 per cell]
Y: 0.000 0.215 0.500 [4 per cell]
Y: 0.162 0.328 0.999 [8 per cell]
Al: 0.000 0.500 0.000 [2 per cell]

The value obtained for the formation enthalpy at 0 K is 72 meV per atom. The value obtained for the density of states at the Fermi level is 13.79 states/eV/f.u.



Entry from the Alexandria database: Ac2DyPuO8 after structural relaxation (GGA-PBE).

Cell: 4.265 7.622 5.758 Å, 90.00 96.83 90.00°
Space group P2/m (No. 10)
One atom of each set of equivalent atoms:
Ac: 0.000 0.247 0.000 [2 per cell]
Dy: 0.500 0.000 0.500 [1 per cell]
Pu: 0.500 0.500 0.500 [1 per cell]
O: 0.052 0.000 0.257 [2 per cell]
O: 0.098 0.500 0.302 [2 per cell]
O: 0.441 0.282 0.720 [4 per cell]

The calculation puts the energy relative to the elements, uncorrected at -2993.1 meV per atom. The value obtained for the density of states at the Fermi level is 0.46 states/eV/f.u.



Question: Number 2 is which compound?
Answer: CoSbP2



Question: Which formula does entry 5 have?
Answer: Pm2Y6Al